## Ta2CrMo (PBE-GGA)

Data for a relaxed Ta2CrMo crystal.

Results
- Uncorrected energy: -10.7443 eV per atom

Lattice parameters (Å, degrees): 8.399 8.399 8.399 20.88 20.88 20.88
Fractional coordinates of all 4 atoms:
Ta1 0.246 0.246 0.246
Ta2 0.754 0.754 0.754
Cr1 0.500 0.500 0.500
Mo1 0.000 0.000 0.000